[1]
The following is a DFT calculation (GGA-PBE) of an optimized crystal structure of TiZnRe2Te.

a = 4.8403 Å, b = 4.8403 Å, c = 4.7808 Å
α = 90.00°, β = 90.00°, γ = 90.00°
Sites, in units of the cell vectors:
Ti 0.0000 0.0000 0.0000
Zn 0.5000 0.5000 0.0000
Re 0.0000 0.5000 0.5000
Re 0.5000 0.0000 0.5000
Te 0.5000 0.5000 0.5000

Results
Total DFT energy (no corrections) ... -27.23 eV for the cell shown
N(E_F) ... 5.7 states/eV/f.u.
Theoretical density ... 9.092 g cm⁻³

***

[2]
The following is a DFT calculation (GGA-PBE) of an optimized crystal structure of CrIr3Se.

a = 4.5538 Å, b = 4.5538 Å, c = 4.5538 Å
α = 90.00°, β = 90.00°, γ = 90.00°
Sites, in units of the cell vectors:
Cr 0.0000 0.0000 0.0000
Ir 0.0000 0.5000 0.5000
Ir 0.5000 0.0000 0.5000
Ir 0.5000 0.5000 0.0000
Se 0.5000 0.5000 0.5000

Results
Total DFT energy (no corrections) ... -31.32 eV for the cell shown
N(E_F) ... 11.0 states/eV/f.u.
Theoretical density ... 12.443 g cm⁻³

***

[3]
The following is a DFT calculation (GGA-PBE) of an optimized crystal structure of SrLa6Nd8.

a = 8.5635 Å, b = 8.5635 Å, c = 8.5635 Å
α = 72.17°, β = 72.17°, γ = 72.17°
Sites, in units of the cell vectors:
Sr 0.0000 0.0000 0.0000
La 0.1672 0.6211 0.4268
La 0.3789 0.5732 0.8328
La 0.4268 0.1672 0.6211
La 0.5732 0.8328 0.3789
La 0.6211 0.4268 0.1672
La 0.8328 0.3789 0.5732
Nd 0.0562 0.3885 0.8565
Nd 0.1435 0.9438 0.6115
Nd 0.2280 0.2280 0.2280
Nd 0.3885 0.8565 0.0562
Nd 0.6115 0.1435 0.9438
Nd 0.7720 0.7720 0.7720
Nd 0.8565 0.0562 0.3885
Nd 0.9438 0.6115 0.1435

Results
Total DFT energy (no corrections) ... -67.04 eV for the cell shown
N(E_F) ... 20.7 states/eV/f.u.
Theoretical density ... 6.228 g cm⁻³

***

[4]
The following is a DFT calculation (GGA-PBE) of an optimized crystal structure of ZrNi3B3.

a = 7.4808 Å, b = 7.4808 Å, c = 3.0872 Å
α = 90.00°, β = 90.00°, γ = 120.00°
Sites, in units of the cell vectors:
Zr 0.3333 0.6667 0.2500
Zr 0.6667 0.3333 0.7500
Ni 0.0785 0.3212 0.7500
Ni 0.2428 0.9215 0.7500
Ni 0.3212 0.2428 0.2500
Ni 0.6788 0.7572 0.7500
Ni 0.7572 0.0785 0.2500
Ni 0.9215 0.6788 0.2500
B 0.0388 0.5839 0.7500
B 0.4161 0.4549 0.7500
B 0.4549 0.0388 0.2500
B 0.5451 0.9612 0.7500
B 0.5839 0.5451 0.2500
B 0.9612 0.4161 0.2500

Results
Total DFT energy (no corrections) ... -96.17 eV for the cell shown
N(E_F) ... 5.0 states/eV/f.u.
Theoretical density ... 6.653 g cm⁻³

***

[5]
The following is a DFT calculation (GGA-PBE) of an optimized crystal structure of La3Pr2Ho4.

a = 10.2414 Å, b = 10.2414 Å, c = 6.2286 Å
α = 96.35°, β = 96.35°, γ = 71.31°
Sites, in units of the cell vectors:
La 0.1245 0.8755 0.7500
La 0.1994 0.4783 0.9058
La 0.4783 0.1994 0.4058
La 0.5217 0.8006 0.5942
La 0.8006 0.5217 0.0942
La 0.8755 0.1245 0.2500
Pr 0.0176 0.7519 0.2078
Pr 0.2481 0.9824 0.2922
Pr 0.7519 0.0176 0.7078
Pr 0.9824 0.2481 0.7922
Ho 0.1110 0.3489 0.3589
Ho 0.3274 0.5605 0.4602
Ho 0.3489 0.1110 0.8589
Ho 0.4395 0.6726 0.0398
Ho 0.5605 0.3274 0.9602
Ho 0.6511 0.8890 0.1411
Ho 0.6726 0.4395 0.5398
Ho 0.8890 0.6511 0.6411

Results
Total DFT energy (no corrections) ... -83.61 eV for the cell shown
N(E_F) ... 14.4 states/eV/f.u.
Theoretical density ... 7.358 g cm⁻³

***

[6]
The following is a DFT calculation (GGA-PBE) of an optimized crystal structure of In10GaHg6.

a = 9.3058 Å, b = 9.3058 Å, c = 6.0892 Å
α = 90.00°, β = 90.00°, γ = 120.00°
Sites, in units of the cell vectors:
In 0.0000 0.2629 0.2305
In 0.0000 0.7371 0.7695
In 0.2629 0.0000 0.2305
In 0.2629 0.2629 0.7695
In 0.3333 0.6667 0.0000
In 0.3333 0.6667 0.5000
In 0.6667 0.3333 0.0000
In 0.6667 0.3333 0.5000
In 0.7371 0.0000 0.7695
In 0.7371 0.7371 0.2305
Ga 0.0000 0.0000 0.5000
Hg 0.0000 0.3861 0.7380
Hg 0.0000 0.6139 0.2620
Hg 0.3861 0.0000 0.7380
Hg 0.3861 0.3861 0.2620
Hg 0.6139 0.0000 0.2620
Hg 0.6139 0.6139 0.7380

Results
Total DFT energy (no corrections) ... -31.56 eV for the cell shown
N(E_F) ... 9.0 states/eV/f.u.
Theoretical density ... 8.805 g cm⁻³

***

[7]
The following is a DFT calculation (GGA-PBE) of an optimized crystal structure of Ba2NaF2.

a = 5.5662 Å, b = 5.5662 Å, c = 10.6955 Å
α = 90.00°, β = 90.00°, γ = 90.00°
Sites, in units of the cell vectors:
Ba 0.0000 0.5000 0.2500
Ba 0.0000 0.5000 0.7500
Ba 0.5000 0.0000 0.2500
Ba 0.5000 0.0000 0.7500
Na 0.0000 0.0000 0.0000
Na 0.5000 0.5000 0.5000
F 0.0000 0.0000 0.2277
F 0.0000 0.0000 0.7723
F 0.5000 0.5000 0.2723
F 0.5000 0.5000 0.7277

Results
Total DFT energy (no corrections) ... -37.90 eV for the cell shown
N(E_F) ... 5.6 states/eV/f.u.
Theoretical density ... 3.364 g cm⁻³

***

[8]
The following is a DFT calculation (GGA-PBE) of an optimized crystal structure of Ac12Ga5N2.

a = 9.6962 Å, b = 9.6962 Å, c = 9.9544 Å
α = 104.49°, β = 104.49°, γ = 48.84°
Sites, in units of the cell vectors:
Ac 0.0008 0.0008 0.1912
Ac 0.0956 0.5898 0.9119
Ac 0.1061 0.5942 0.4285
Ac 0.4058 0.8939 0.5715
Ac 0.4102 0.9044 0.0881
Ac 0.4899 0.4899 0.1756
Ac 0.5101 0.5101 0.8244
Ac 0.5898 0.0956 0.9119
Ac 0.5942 0.1061 0.4285
Ac 0.8939 0.4058 0.5715
Ac 0.9044 0.4102 0.0881
Ac 0.9992 0.9992 0.8088
Ga 0.1826 0.1826 0.8373
Ga 0.1929 0.1929 0.3540
Ga 0.5000 0.5000 0.5000
Ga 0.8071 0.8071 0.6460
Ga 0.8174 0.8174 0.1627
N 0.2409 0.7591 0.0000
N 0.7591 0.2409 0.0000

Results
Total DFT energy (no corrections) ... -87.83 eV for the cell shown
N(E_F) ... 22.6 states/eV/f.u.
Theoretical density ... 7.599 g cm⁻³

***

[9]
The following is a DFT calculation (GGA-PBE) of an optimized crystal structure of EuHg2Sb.

a = 4.5737 Å, b = 4.5737 Å, c = 5.1506 Å
α = 90.00°, β = 90.00°, γ = 90.00°
Sites, in units of the cell vectors:
Eu 0.0000 0.0000 0.0000
Hg 0.0000 0.5000 0.5000
Hg 0.5000 0.0000 0.5000
Sb 0.5000 0.5000 0.0000

Results
Total DFT energy (no corrections) ... -16.92 eV for the cell shown
N(E_F) ... 3.6 states/eV/f.u.
Theoretical density ... 10.401 g cm⁻³

***

[10]
The following is a DFT calculation (GGA-PBE) of an optimized crystal structure of MgBN.

a = 7.8551 Å, b = 2.5700 Å, c = 8.3035 Å
α = 90.00°, β = 90.00°, γ = 90.00°
Sites, in units of the cell vectors:
Mg 0.1440 0.2500 0.0804
Mg 0.3560 0.7500 0.5804
Mg 0.6440 0.2500 0.4196
Mg 0.8560 0.7500 0.9196
B 0.1858 0.7500 0.8291
B 0.3142 0.2500 0.3291
B 0.6858 0.7500 0.6709
B 0.8142 0.2500 0.1709
N 0.2373 0.2500 0.7568
N 0.2627 0.7500 0.2568
N 0.7373 0.2500 0.7432
N 0.7627 0.7500 0.2432

Results
Total DFT energy (no corrections) ... -70.21 eV for the cell shown
Theoretical density ... 1.946 g cm⁻³

***

[11]
The following is a DFT calculation (GGA-PBE) of an optimized crystal structure of VSiTc.

a = 8.9066 Å, b = 3.0736 Å, c = 6.1742 Å
α = 90.00°, β = 109.22°, γ = 90.00°
Sites, in units of the cell vectors:
V 0.1766 0.0000 0.3439
V 0.3234 0.5000 0.6561
V 0.6766 0.5000 0.3439
V 0.8234 0.0000 0.6561
Si 0.0000 0.5000 0.0000
Si 0.0000 0.5000 0.5000
Si 0.5000 0.0000 0.0000
Si 0.5000 0.0000 0.5000
Tc 0.1586 0.0000 0.8286
Tc 0.3414 0.5000 0.1714
Tc 0.6586 0.5000 0.8286
Tc 0.8414 0.0000 0.1714

Results
Total DFT energy (no corrections) ... -104.54 eV for the cell shown
N(E_F) ... 2.1 states/eV/f.u.
Theoretical density ... 7.367 g cm⁻³

***

[12]
The following is a DFT calculation (GGA-PBE) of an optimized crystal structure of BeTl2PbBr6.

a = 9.1164 Å, b = 9.1164 Å, c = 9.1164 Å
α = 50.01°, β = 50.01°, γ = 50.01°
Sites, in units of the cell vectors:
Be 0.0000 0.0000 0.0000
Tl 0.2239 0.2239 0.2239
Tl 0.7397 0.7397 0.7397
Pb 0.4319 0.4319 0.4319
Br 0.0479 0.2434 0.7064
Br 0.1639 0.7886 0.5304
Br 0.2434 0.7064 0.0479
Br 0.5304 0.1639 0.7886
Br 0.7064 0.0479 0.2434
Br 0.7886 0.5304 0.1639

Results
Total DFT energy (no corrections) ... -31.08 eV for the cell shown
N(E_F) ... 0.0 states/eV/f.u.
Theoretical density ... 4.481 g cm⁻³

***

- The highest theoretical density belongs to which entry?
  CrIr3Se

***

- Among the records above, which one has the highest theoretical density?
  CrIr3Se